The following is a PBE calculation of an optimized crystal structure of MgNi2Br, from Alexandria via LeMat-Bulk.

Lattice parameters (Å, degrees): 5.9854 5.9854 5.9854 148.95 139.21 52.13
Element x y z (fractional)
Mg  0.0000  0.0000  0.0000
Ni  0.3684  0.8684  0.5000
Ni  0.5329  0.5329  0.0000
Br  0.7124  0.2124  0.5000

Properties
The formation energy from raw total energies comes out at 0.1585 eV per atom. The crystal system is orthorhombic. The calculation puts the total magnetic moment at 0.13 μB/atom. Its space group is Imm2 (44).